Record 1
# RbLi3Br

An optimized crystal structure of RbLi3Br (PBE, Alexandria).

a b c (Å): 5.591 5.591 5.591
angles (deg): 90.00 90.00 90.00
Space group Pm-3m (No. 221)
Inequivalent atoms, fractional coordinates:
Rb: 0.000 0.000 0.000
Li: 0.000 0.500 0.500
Br: 0.500 0.500 0.500

Summary:
As for the mass density: 1.77 Mg/m³. The value obtained for the formation energy without anion corrections is -0.28 eV/atom. Its final energy is -1.953 eV per atom. Its relative energy among the computed polymorphs is 0 meV/atom.

Record 2
# KSb2Ru

An optimized crystal structure of KSb2Ru (PBE, Alexandria).

a b c (Å): 4.3383 4.3383 20.7750
angles (deg): 90.00 90.00 120.00
Space group R-3m (No. 166, hexagonal axes)
Inequivalent atoms, fractional coordinates:
K: 0.0000 0.0000 0.0000
Sb: 0.0000 0.0000 0.2152
Ru: 0.0000 0.0000 0.5000

Summary:
As for the mass density: 5.64 Mg/m³. The value obtained for the formation energy without anion corrections is -0.12 eV/atom. Its final energy is -4.774 eV per atom. Its relative energy among the computed polymorphs is 33 meV/atom.

Record 3
# Pm4DyTm3Se8

An optimized crystal structure of Pm4DyTm3Se8 (PBE, Alexandria).

a b c (Å): 8.1276 8.1276 20.6812
angles (deg): 90.00 90.00 120.00
Space group R-3m (No. 166, hexagonal axes)
Inequivalent atoms, fractional coordinates:
Pm: 0.0000 0.0000 0.0000
Pm: 0.0000 0.5000 0.0000
Dy: 0.0000 0.0000 0.5000
Tm: 0.0000 0.5000 0.5000
Se: 0.0000 0.0000 0.2440
Se: 0.0028 0.5014 0.7554

Summary:
As for the mass density: 7.92 Mg/m³. The value obtained for the formation energy without anion corrections is -1.76 eV/atom. Its final energy is -5.819 eV per atom.